{"formula": "K2Ti3MnO8", "functional": "PBE with a Hubbard U", "state": "optimized geometry", "cell": [[3.050, 1.761, 6.495], [-3.050, 1.761, 6.495], [0.000, -3.521, 6.495]], "species": ["K", "K", "Ti", "Ti", "Ti", "Mn", "O", "O", "O", "O", "O", "O", "O", "O"], "frac_coords": [[0.000, 0.000, 0.000], [0.350, 0.350, 0.350], [0.501, 0.998, 0.998], [0.998, 0.501, 0.998], [0.998, 0.998, 0.501], [0.516, 0.516, 0.516], [0.187, 0.738, 0.738], [0.219, 0.219, 0.219], [0.272, 0.272, 0.802], [0.272, 0.802, 0.272], [0.738, 0.187, 0.738], [0.738, 0.738, 0.187], [0.780, 0.780, 0.780], [0.802, 0.272, 0.272]], "density_g_cm3": 3.21, "total_energy_ev_per_atom": -7.7699, "sg": "R3m (160)"}